Entry 1:
{
  "formula": "BeCuW",
  "functional": "PBE-GGA",
  "state": "relaxed",
  "lattice_angstrom": [[3.859, 0.000, 0.000], [-1.929, 3.342, 0.000], [0.000, 0.000, 2.826]],
  "species": ["Be", "Cu", "W"],
  "frac_coords": [[0.000, 0.000, 0.167], [0.667, 0.333, 0.166], [0.333, 0.667, 0.667]],
  "polymorph_energy_ev_per_atom": 0.165
}

***

Entry 2:
{
  "formula": "Be2CuW2",
  "functional": "PBE-GGA",
  "state": "relaxed",
  "lattice_angstrom": [[5.865, 0.000, 0.000], [0.000, 5.865, 0.000], [0.000, 0.000, 3.399]],
  "species": ["Be", "Be", "Be", "Be", "Cu", "Cu", "W", "W", "W", "W"],
  "frac_coords": [[0.380, 0.880, 0.000], [0.880, 0.620, 0.000], [0.620, 0.120, 0.000], [0.120, 0.380, 0.000], [0.000, 0.000, 0.000], [0.500, 0.500, 0.000], [0.178, 0.678, 0.500], [0.678, 0.822, 0.500], [0.822, 0.322, 0.500], [0.322, 0.178, 0.500]],
  "final_energy_ev_per_cell": -74.3
}

***

Entry 3:
{
  "formula": "BeCuW2",
  "functional": "PBE-GGA",
  "state": "relaxed",
  "lattice_angstrom": [[3.848, 0.000, 0.000], [0.000, 2.664, 0.005], [0.000, 2.106, 5.258]],
  "species": ["Be", "Cu", "W", "W"],
  "frac_coords": [[0.500, 0.250, 0.250], [0.500, 0.750, 0.750], [0.000, 0.026, 0.009], [0.000, 0.474, 0.491]],
  "polymorph_energy_ev_per_atom": 0.112
}

***

Entry 4:
{
  "formula": "BeCuW2",
  "functional": "PBE-GGA",
  "state": "relaxed",
  "lattice_angstrom": [[3.109, 0.000, 0.000], [0.000, 3.109, 0.000], [0.000, 0.000, 5.489]],
  "species": ["Be", "Cu", "W", "W"],
  "frac_coords": [[0.500, 0.500, 0.250], [0.500, 0.500, 0.750], [0.000, 0.000, 0.024], [0.000, 0.000, 0.476]],
  "polymorph_energy_ev_per_atom": 0.214
}

***

Entry 5:
{
  "formula": "BeCuW2",
  "functional": "PBE-GGA",
  "state": "relaxed",
  "lattice_angstrom": [[-1.278, 2.045, 1.171], [0.581, -1.017, 2.410], [6.248, 3.839, 0.113]],
  "species": ["Be", "Cu", "W", "W"],
  "frac_coords": [[0.000, 0.000, 0.529], [0.500, 0.500, 0.706], [0.000, 0.000, 0.974], [0.500, 0.500, 0.291]],
  "polymorph_energy_ev_per_atom": 0.015
}

***

Entry 6:
{
  "formula": "Be9Cu2W",
  "functional": "PBE-GGA",
  "state": "relaxed",
  "lattice_angstrom": [[-2.944, -0.276, -3.125], [-4.058, -1.063, 0.955], [-3.846, 6.085, 0.124]],
  "species": ["Be", "Be", "Be", "Be", "Be", "Be", "Be", "Be", "Be", "Cu", "Cu", "W"],
  "frac_coords": [[0.667, 0.667, 0.998], [0.333, 0.333, 0.002], [0.500, 0.500, 0.500], [0.417, 0.417, 0.247], [0.918, 0.417, 0.247], [0.417, 0.918, 0.247], [0.583, 0.583, 0.753], [0.583, 0.082, 0.753], [0.082, 0.583, 0.753], [0.857, 0.857, 0.428], [0.143, 0.143, 0.572], [0.000, 0.000, 0.000]],
  "final_energy_ev_per_cell": -55.9
}

***

Entry 7:
{
  "formula": "BeCuW2",
  "functional": "PBE-GGA",
  "state": "relaxed",
  "lattice_angstrom": [[2.683, 0.016, 0.000], [-0.485, 2.638, 0.000], [0.000, 0.000, 7.463]],
  "species": ["Be", "Cu", "W", "W"],
  "frac_coords": [[0.000, 0.000, 0.524], [0.500, 0.500, 0.709], [0.000, 0.000, 0.980], [0.500, 0.500, 0.288]],
  "polymorph_energy_ev_per_atom": 0.000
}

***

Entry 8:
{
  "formula": "BeCuW2",
  "functional": "PBE-GGA",
  "state": "relaxed",
  "lattice_angstrom": [[2.689, 0.000, 0.000], [0.000, 2.689, 0.000], [0.000, 0.000, 7.311]],
  "species": ["Be", "Cu", "W", "W"],
  "frac_coords": [[0.500, 0.500, 0.250], [0.500, 0.500, 0.750], [0.000, 0.000, 0.024], [0.000, 0.000, 0.476]],
  "polymorph_energy_ev_per_atom": 0.073
}

***

Entry 9:
{
  "formula": "BeCuW2",
  "functional": "PBE-GGA",
  "state": "relaxed",
  "lattice_angstrom": [[4.748, 0.002, -0.003], [1.785, 4.400, 0.003], [-2.845, -2.827, 2.542]],
  "species": ["Be", "Cu", "W", "W"],
  "frac_coords": [[0.479, 0.479, 0.000], [0.281, 0.781, 0.500], [0.008, 0.008, 0.000], [0.733, 0.233, 0.500]],
  "polymorph_energy_ev_per_atom": 0.078
}

***

Entry 10:
{
  "formula": "BeCuW",
  "functional": "PBE-GGA",
  "state": "relaxed",
  "lattice_angstrom": [[-3.863, -1.156, -3.413], [-4.993, -1.421, -0.976], [-1.320, 2.326, -0.361]],
  "species": ["Be", "Cu", "W"],
  "frac_coords": [[0.016, 0.016, 0.984], [0.643, 0.643, 0.357], [0.341, 0.341, 0.659]],
  "polymorph_energy_ev_per_atom": 0.000
}

***

Entry 11:
{
  "formula": "BeCuW2",
  "functional": "PBE-GGA",
  "state": "relaxed",
  "lattice_angstrom": [[4.712, 0.020, 0.000], [1.765, 4.369, 0.000], [-3.239, -2.195, 2.627]],
  "species": ["Be", "Cu", "W", "W"],
  "frac_coords": [[0.250, 0.750, 0.500], [0.750, 0.250, 0.500], [0.000, 0.000, 0.000], [0.500, 0.500, 0.000]],
  "polymorph_energy_ev_per_atom": 0.122
}

***

Entry 12:
{
  "formula": "BeCuW2",
  "functional": "PBE-GGA",
  "state": "relaxed",
  "lattice_angstrom": [[4.296, 0.000, 0.000], [2.148, 3.721, 0.000], [2.148, 1.240, 3.508]],
  "species": ["Be", "Cu", "W", "W"],
  "frac_coords": [[0.500, 0.500, 0.500], [0.750, 0.750, 0.750], [0.000, 0.000, 0.000], [0.250, 0.250, 0.250]],
  "polymorph_energy_ev_per_atom": 0.325
}

***

Record order is preserved below.
Mass density: 11.68, 12.76, 13.57, 13.78, 13.88, 6.01, 13.83, 13.83, 13.76, 11.87, 13.54, 13.04 g/cm3
Record order is preserved below.
Spin magnetization: 0.00, 0.00, 0.00, 0.00, 0.00, 0.00, 0.00, 0.00, 0.00, 0.00, 0.00, 0.00 μB/f.u.
Record order is preserved below.
V: 12.1, 11.7, 13.5, 13.3, 13.2, 9.0, 13.2, 13.2, 13.3, 12.0, 13.5, 14.0 Å³/atom